Below is Sm3Mg3Tl2Ga after structural relaxation, with properties calculated at the PBE level.

Unit cell a=7.6430 b=7.6430 c=4.6014 alpha=90.00 beta=90.00 gamma=120.00
Positions (direct):
Sm: 0.0000 0.5865 0.0000
Sm: 0.4135 0.4135 0.0000
Sm: 0.5865 0.0000 0.0000
Mg: 0.0000 0.2363 0.5000
Mg: 0.2363 0.0000 0.5000
Mg: 0.7637 0.7637 0.5000
Tl: 0.3333 0.6667 0.5000
Tl: 0.6667 0.3333 0.5000
Ga: 0.0000 0.0000 0.0000

Calculated values
total DFT energy (no corrections): -3.3370 eV per atom
crystal system: hexagonal



Below is Sm3Mg3Zn2Ga after structural relaxation, with properties calculated at the PBE level.

Unit cell a=7.3343 b=7.3343 c=4.5616 alpha=90.00 beta=90.00 gamma=120.00
Positions (direct):
Sm: 0.0000 0.5795 0.0000
Sm: 0.4205 0.4205 0.0000
Sm: 0.5795 0.0000 0.0000
Mg: 0.0000 0.2417 0.5000
Mg: 0.2417 0.0000 0.5000
Mg: 0.7583 0.7583 0.5000
Zn: 0.3333 0.6667 0.5000
Zn: 0.6667 0.3333 0.5000
Ga: 0.0000 0.0000 0.0000

Calculated values
total DFT energy (no corrections): -3.0282 eV per atom
crystal system: hexagonal



Below is SrMg2ZnGa after structural relaxation, with properties calculated at the PBE level.

Unit cell a=4.5037 b=4.5037 c=12.0002 alpha=90.00 beta=90.00 gamma=90.00
Positions (direct):
Sr: 0.0000 0.0000 0.0000
Sr: 0.5000 0.5000 0.5000
Mg: 0.0000 0.5000 0.2514
Mg: 0.0000 0.5000 0.7514
Mg: 0.5000 0.0000 0.2514
Mg: 0.5000 0.0000 0.7514
Zn: 0.0000 0.0000 0.6077
Zn: 0.5000 0.5000 0.1077
Ga: 0.0000 0.0000 0.3944
Ga: 0.5000 0.5000 0.8944

Calculated values
total DFT energy (no corrections): -2.0698 eV per atom
crystal system: tetragonal